Compound: Nd3Tm3Te2Pt
Source: OQMD via LeMat-Bulk
Functional: PBE-GGA
Structure: optimized geometry

Final energy in eV/atom: -5.25
V in A^3/atom: 28.00
Total moment in μB/cell: 0.1
Energy relative to the lowest polymorph listed for this composition in meV per atom: 163

a = 8.6039 Å, b = 8.6039 Å, c = 3.9306 Å
α = 90.00°, β = 90.00°, γ = 120.00°
Fractional positions:
Nd (0.0000, 0.7481, 0.0000)
Nd (0.2519, 0.2519, 0.0000)
Nd (0.7481, 0.0000, 0.0000)
Tm (0.0000, 0.4024, 0.5000)
Tm (0.4024, 0.0000, 0.5000)
Tm (0.5976, 0.5976, 0.5000)
Te (0.3333, 0.6667, 0.0000)
Te (0.6667, 0.3333, 0.0000)
Pt (0.0000, 0.0000, 0.5000)

=====

Compound: Ho2Tm2InNi2Sn4
Source: OQMD via LeMat-Bulk
Functional: PBE-GGA
Structure: optimized geometry

Final energy in eV/atom: -4.97
V in A^3/atom: 22.93
Total moment in μB/cell: 0.0

a = 8.3180 Å, b = 8.3180 Å, c = 7.3739 Å
α = 108.94°, β = 108.94°, γ = 31.68°
Fractional positions:
Ho (0.0911, 0.0911, 0.3935)
Ho (0.9089, 0.9089, 0.6065)
Tm (0.1577, 0.1577, 0.9543)
Tm (0.8423, 0.8423, 0.0457)
In (0.5000, 0.5000, 0.0000)
Ni (0.2775, 0.2775, 0.3518)
Ni (0.7225, 0.7225, 0.6482)
Sn (0.2989, 0.2989, 0.7287)
Sn (0.4292, 0.4292, 0.3217)
Sn (0.5708, 0.5708, 0.6783)
Sn (0.7011, 0.7011, 0.2713)

=====

Compound: PaSnHg
Source: OQMD via LeMat-Bulk
Functional: PBE-GGA
Structure: optimized geometry

Final energy in eV/atom: -4.19
V in A^3/atom: 30.06
Total moment in μB/cell: 7.5

a = 7.1188 Å, b = 7.1188 Å, c = 7.1188 Å
α = 90.00°, β = 90.00°, γ = 90.00°
Fractional positions:
Pa (0.0000, 0.0000, 0.0000)
Pa (0.0000, 0.5000, 0.5000)
Pa (0.5000, 0.0000, 0.5000)
Pa (0.5000, 0.5000, 0.0000)
Sn (0.2500, 0.2500, 0.7500)
Sn (0.2500, 0.7500, 0.2500)
Sn (0.7500, 0.2500, 0.2500)
Sn (0.7500, 0.7500, 0.7500)
Hg (0.0000, 0.0000, 0.5000)
Hg (0.0000, 0.5000, 0.0000)
Hg (0.5000, 0.0000, 0.0000)
Hg (0.5000, 0.5000, 0.5000)

=====

Compound: Cu2TcB
Source: OQMD via LeMat-Bulk
Functional: PBE-GGA
Structure: optimized geometry

Final energy in eV/atom: -5.65
V in A^3/atom: 11.17
Total moment in μB/cell: 2.6

a = 5.6332 Å, b = 5.6332 Å, c = 5.6332 Å
α = 90.00°, β = 90.00°, γ = 90.00°
Fractional positions:
Cu (0.0000, 0.0000, 0.0000)
Cu (0.0000, 0.5000, 0.5000)
Cu (0.2500, 0.2500, 0.2500)
Cu (0.2500, 0.7500, 0.7500)
Cu (0.5000, 0.0000, 0.5000)
Cu (0.5000, 0.5000, 0.0000)
Cu (0.7500, 0.2500, 0.7500)
Cu (0.7500, 0.7500, 0.2500)
Tc (0.2500, 0.2500, 0.7500)
Tc (0.2500, 0.7500, 0.2500)
Tc (0.7500, 0.2500, 0.2500)
Tc (0.7500, 0.7500, 0.7500)
B (0.0000, 0.0000, 0.5000)
B (0.0000, 0.5000, 0.0000)
B (0.5000, 0.0000, 0.0000)
B (0.5000, 0.5000, 0.5000)

=====

> Which value of total moment does entry 2 give?

0.0 μB/cell